An optimized crystal structure of MnFeIrO6, computed with PBE with a Hubbard U.

Lattice parameters (Å, degrees): 5.004 5.004 8.867 90.00 90.00 120.00
Positions (direct):
Mn 0.000 0.000 0.000
Mn 0.000 0.000 0.500
Fe 0.333 0.667 0.250
Fe 0.667 0.333 0.750
Ir 0.333 0.667 0.750
Ir 0.667 0.333 0.250
O 0.000 0.351 0.131
O 0.000 0.351 0.631
O 0.000 0.649 0.369
O 0.000 0.649 0.869
O 0.351 0.000 0.131
O 0.351 0.000 0.631
O 0.351 0.351 0.369
O 0.351 0.351 0.869
O 0.649 0.000 0.369
O 0.649 0.000 0.869
O 0.649 0.649 0.131
O 0.649 0.649 0.631

Properties
Mass density: 6891 kg/m3
Electronic total energy: -0.2433 hartree per atom
Crystal system: trigonal
DOS(E_F): 0.512 states/eV/atom